Run a
# Er2PaPd GGA-PBE relaxed
data_Er2PaPd
_space_group_name_H-M_alt 'P 1'
_space_group_IT_number 1
_space_group_name_Hall 'P 1'
_cell_length_a 3.4421
_cell_length_b 3.4421
_cell_length_c 8.1577
_cell_angle_alpha 90.00
_cell_angle_beta 90.00
_cell_angle_gamma 90.00
loop_
_atom_site_label
_atom_site_type_symbol
_atom_site_fract_x
_atom_site_fract_y
_atom_site_fract_z
Er1 Er 0.0000 0.0000 0.2120
Er2 Er 0.0000 0.0000 0.7880
Pa1 Pa 0.5000 0.5000 0.5000
Pd1 Pd 0.5000 0.5000 0.0000
# **Size of the total moment**: 0.264 μB per formula unit

Run b
# Er2PaPd GGA-PBE relaxed
data_Er2PaPd
_space_group_name_H-M_alt 'P 1'
_space_group_IT_number 1
_space_group_name_Hall 'P 1'
_cell_length_a 10.9845
_cell_length_b 10.9845
_cell_length_c 10.9845
_cell_angle_alpha 16.99
_cell_angle_beta 16.99
_cell_angle_gamma 16.99
loop_
_atom_site_label
_atom_site_type_symbol
_atom_site_fract_x
_atom_site_fract_y
_atom_site_fract_z
Er1 Er 0.0983 0.0983 0.0983
Er2 Er 0.9017 0.9017 0.9017
Pa1 Pa 0.0000 0.0000 0.0000
Pd1 Pd 0.5000 0.5000 0.5000
# **Size of the total moment**: 0.000 μB per formula unit

Stability verdict: run a, ahead by 317 meV/atom

Run a
# Pm2ErPa GGA-PBE relaxed
data_Pm2ErPa
_space_group_name_H-M_alt 'P 1'
_space_group_IT_number 1
_space_group_name_Hall 'P 1'
_cell_length_a 5.6290
_cell_length_b 5.6290
_cell_length_c 5.6290
_cell_angle_alpha 60.00
_cell_angle_beta 60.00
_cell_angle_gamma 60.00
loop_
_atom_site_label
_atom_site_type_symbol
_atom_site_fract_x
_atom_site_fract_y
_atom_site_fract_z
Pm1 Pm 0.2500 0.2500 0.2500
Pm2 Pm 0.7500 0.7500 0.7500
Er1 Er 0.0000 0.0000 0.0000
Pa1 Pa 0.5000 0.5000 0.5000
# **Size of the total moment**: 3.712 μB per formula unit

Run b
# Pm2ErPa GGA-PBE relaxed
data_Pm2ErPa
_space_group_name_H-M_alt 'P 1'
_space_group_IT_number 1
_space_group_name_Hall 'P 1'
_cell_length_a 3.4371
_cell_length_b 3.4371
_cell_length_c 10.3637
_cell_angle_alpha 90.00
_cell_angle_beta 90.00
_cell_angle_gamma 90.00
loop_
_atom_site_label
_atom_site_type_symbol
_atom_site_fract_x
_atom_site_fract_y
_atom_site_fract_z
Pm1 Pm 0.0000 0.0000 0.2340
Pm2 Pm 0.0000 0.0000 0.7660
Er1 Er 0.5000 0.5000 0.5000
Pa1 Pa 0.5000 0.5000 0.0000
# **Size of the total moment**: 0.002 μB per formula unit

Stability verdict: run b, ahead by 229 meV/atom

Run a
# Pm2ErPa GGA-PBE relaxed
data_Pm2ErPa
_space_group_name_H-M_alt 'P 1'
_space_group_IT_number 1
_space_group_name_Hall 'P 1'
_cell_length_a 12.5225
_cell_length_b 12.5225
_cell_length_c 12.5225
_cell_angle_alpha 15.44
_cell_angle_beta 15.44
_cell_angle_gamma 15.44
loop_
_atom_site_label
_atom_site_type_symbol
_atom_site_fract_x
_atom_site_fract_y
_atom_site_fract_z
Pm1 Pm 0.0869 0.0869 0.0869
Pm2 Pm 0.9131 0.9131 0.9131
Er1 Er 0.5000 0.5000 0.5000
Pa1 Pa 0.0000 0.0000 0.0000
# **Size of the total moment**: 0.000 μB per formula unit

Run b
# Pm2ErPa GGA-PBE relaxed
data_Pm2ErPa
_space_group_name_H-M_alt 'P 1'
_space_group_IT_number 1
_space_group_name_Hall 'P 1'
_cell_length_a 4.9858
_cell_length_b 4.9858
_cell_length_c 4.9199
_cell_angle_alpha 90.00
_cell_angle_beta 90.00
_cell_angle_gamma 90.00
loop_
_atom_site_label
_atom_site_type_symbol
_atom_site_fract_x
_atom_site_fract_y
_atom_site_fract_z
Pm1 Pm 0.0000 0.5000 0.0000
Pm2 Pm 0.5000 0.0000 0.0000
Er1 Er 0.0000 0.0000 0.5000
Pa1 Pa 0.5000 0.5000 0.5000
# **Size of the total moment**: 0.001 μB per formula unit

Stability verdict: run b, ahead by 53 meV/atom

Run a
# Pr2ErPa GGA-PBE relaxed
data_Pr2ErPa
_space_group_name_H-M_alt 'P 1'
_space_group_IT_number 1
_space_group_name_Hall 'P 1'
_cell_length_a 3.4598
_cell_length_b 3.4598
_cell_length_c 10.4928
_cell_angle_alpha 90.00
_cell_angle_beta 90.00
_cell_angle_gamma 90.00
loop_
_atom_site_label
_atom_site_type_symbol
_atom_site_fract_x
_atom_site_fract_y
_atom_site_fract_z
Pr1 Pr 0.0000 0.0000 0.2344
Pr2 Pr 0.0000 0.0000 0.7656
Er1 Er 0.5000 0.5000 0.5000
Pa1 Pa 0.5000 0.5000 0.0000
# **Size of the total moment**: 0.000 μB per formula unit

Run b
# Pr2ErPa GGA-PBE relaxed
data_Pr2ErPa
_space_group_name_H-M_alt 'P 1'
_space_group_IT_number 1
_space_group_name_Hall 'P 1'
_cell_length_a 12.6614
_cell_length_b 12.6614
_cell_length_c 12.6614
_cell_angle_alpha 15.39
_cell_angle_beta 15.39
_cell_angle_gamma 15.39
loop_
_atom_site_label
_atom_site_type_symbol
_atom_site_fract_x
_atom_site_fract_y
_atom_site_fract_z
Pr1 Pr 0.0864 0.0864 0.0864
Pr2 Pr 0.9136 0.9136 0.9136
Er1 Er 0.5000 0.5000 0.5000
Pa1 Pa 0.0000 0.0000 0.0000
# **Size of the total moment**: 0.000 μB per formula unit

Stability verdict: run a, ahead by 132 meV/atom

Run a
# ErPaPt GGA-PBE relaxed
data_ErPaPt
_space_group_name_H-M_alt 'P 1'
_space_group_IT_number 1
_space_group_name_Hall 'P 1'
_cell_length_a 5.7187
_cell_length_b 3.3648
_cell_length_c 14.7975
_cell_angle_alpha 90.00
_cell_angle_beta 90.00
_cell_angle_gamma 90.00
loop_
_atom_site_label
_atom_site_type_symbol
_atom_site_fract_x
_atom_site_fract_y
_atom_site_fract_z
Er1 Er 0.1452 0.2500 0.1943
Er2 Er 0.3548 0.7500 0.6943
Er3 Er 0.6452 0.2500 0.3057
Er4 Er 0.8548 0.7500 0.8057
Pa1 Pa 0.2050 0.7500 0.9803
Pa2 Pa 0.2950 0.2500 0.4803
Pa3 Pa 0.7050 0.7500 0.5197
Pa4 Pa 0.7950 0.2500 0.0197
Pt1 Pt 0.0358 0.7500 0.3592
Pt2 Pt 0.4642 0.2500 0.8592
Pt3 Pt 0.5358 0.7500 0.1408
Pt4 Pt 0.9642 0.2500 0.6408
# **Size of the total moment**: 0.000 μB per formula unit

Run b
# ErPaPt GGA-PBE relaxed
data_ErPaPt
_space_group_name_H-M_alt 'P 1'
_space_group_IT_number 1
_space_group_name_Hall 'P 1'
_cell_length_a 4.8377
_cell_length_b 4.8377
_cell_length_c 4.8377
_cell_angle_alpha 60.00
_cell_angle_beta 60.00
_cell_angle_gamma 60.00
loop_
_atom_site_label
_atom_site_type_symbol
_atom_site_fract_x
_atom_site_fract_y
_atom_site_fract_z
Er1 Er 0.0000 0.0000 0.0000
Pa1 Pa 0.5000 0.5000 0.5000
Pt1 Pt 0.2500 0.2500 0.2500
# **Size of the total moment**: 1.051 μB per formula unit

Run c
# ErPaPt GGA-PBE relaxed
data_ErPaPt
_space_group_name_H-M_alt 'P 1'
_space_group_IT_number 1
_space_group_name_Hall 'P 1'
_cell_length_a 4.7737
_cell_length_b 4.7737
_cell_length_c 3.4875
_cell_angle_alpha 90.00
_cell_angle_beta 90.00
_cell_angle_gamma 120.00
loop_
_atom_site_label
_atom_site_type_symbol
_atom_site_fract_x
_atom_site_fract_y
_atom_site_fract_z
Er1 Er 0.0000 0.0000 0.0000
Pa1 Pa 0.3333 0.6667 0.3968
Pt1 Pt 0.6667 0.3333 0.6554
# **Size of the total moment**: 0.000 μB per formula unit

Stability verdict: run a, ahead by 177 meV/atom

Run a
# ErPaPt2 GGA-PBE relaxed
data_ErPaPt2
_space_group_name_H-M_alt 'P 1'
_space_group_IT_number 1
_space_group_name_Hall 'P 1'
_cell_length_a 7.3258
_cell_length_b 7.3258
_cell_length_c 7.3258
_cell_angle_alpha 31.46
_cell_angle_beta 31.46
_cell_angle_gamma 31.46
loop_
_atom_site_label
_atom_site_type_symbol
_atom_site_fract_x
_atom_site_fract_y
_atom_site_fract_z
Er1 Er 0.0000 0.0000 0.0000
Pa1 Pa 0.1716 0.1716 0.1716
Pt1 Pt 0.5841 0.5841 0.5841
Pt2 Pt 0.7560 0.7560 0.7560
# **Size of the total moment**: 0.000 μB per formula unit

Run b
# ErPaPt2 GGA-PBE relaxed
data_ErPaPt2
_space_group_name_H-M_alt 'P 1'
_space_group_IT_number 1
_space_group_name_Hall 'P 1'
_cell_length_a 4.9477
_cell_length_b 4.9477
_cell_length_c 4.9477
_cell_angle_alpha 60.00
_cell_angle_beta 60.00
_cell_angle_gamma 60.00
loop_
_atom_site_label
_atom_site_type_symbol
_atom_site_fract_x
_atom_site_fract_y
_atom_site_fract_z
Er1 Er 0.0000 0.0000 0.0000
Pa1 Pa 0.5000 0.5000 0.5000
Pt1 Pt 0.2500 0.2500 0.2500
Pt2 Pt 0.7500 0.7500 0.7500
# **Size of the total moment**: 0.568 μB per formula unit

Run c
# ErPaPt2 GGA-PBE relaxed
data_ErPaPt2
_space_group_name_H-M_alt 'P 1'
_space_group_IT_number 1
_space_group_name_Hall 'P 1'
_cell_length_a 3.4103
_cell_length_b 3.4103
_cell_length_c 7.2830
_cell_angle_alpha 90.00
_cell_angle_beta 90.00
_cell_angle_gamma 90.00
loop_
_atom_site_label
_atom_site_type_symbol
_atom_site_fract_x
_atom_site_fract_y
_atom_site_fract_z
Er1 Er 0.0000 0.0000 0.0000
Pa1 Pa 0.0000 0.0000 0.5000
Pt1 Pt 0.5000 0.5000 0.2443
Pt2 Pt 0.5000 0.5000 0.7557
# **Size of the total moment**: 0.809 μB per formula unit

Stability verdict: run a, ahead by 43 meV/atom